# LaPaNiOs | Alexandria | GGA-PBE | relaxed
data_LaPaNiOs
_cell_length_a 4.9134
_cell_length_b 4.9134
_cell_length_c 4.9134
_cell_angle_alpha 60.00
_cell_angle_beta 60.00
_cell_angle_gamma 60.00
_space_group_name_H-M_alt 'P 1'
_space_group_IT_number 1
_space_group_name_Hall 'P 1'
loop_
_atom_site_label
_atom_site_type_symbol
_atom_site_fract_x
_atom_site_fract_y
_atom_site_fract_z
_atom_site_occupancy
Ni1 Ni 0.7500 0.7500 0.7500 1
Pa1 Pa 0.0000 0.0000 0.0000 1
Os1 Os 0.2500 0.2500 0.2500 1
La1 La 0.5000 0.5000 0.5000 1
# **Crystal system**: cubic
# **Density of states at the Fermi level**: 1.6242 states/eV/atom
# **Energy relative to the elements**: -1.8 kcal/mol of atoms